No. 1
Density functional theory data (PBE) for a relaxed SrMgAl2Hg crystal.

Computed properties:
The calculation puts the uncorrected energy at -24.91 eV for the cell shown.

Cell: 4.439 4.592 11.980 Å, 90.00 90.00 90.00°
Space group Imm2 (No. 44)
Inequivalent atoms, fractional coordinates:
Sr: 0.000 0.000 0.000 [2 per cell]
Mg: 0.000 0.500 0.745 [2 per cell]
Al: 0.000 0.000 0.613 [2 per cell]
Al: 0.000 0.500 0.243 [2 per cell]
Hg: 0.000 0.000 0.389 [2 per cell]

No. 2
Density functional theory data (PBE) for a relaxed InBiI2 crystal.

Computed properties:
The calculation puts the polymorph energy (0 for the lowest one) at 0.046 eV per atom. Its formation energy without anion corrections is 0.051 eV/atom.

Cell: 8.181 8.181 8.181 Å, 90.00 90.00 90.00°
Space group Fm-3m (No. 225)
Inequivalent atoms, fractional coordinates:
In: 0.000 0.000 0.000 [4 per cell]
Bi: 0.000 0.000 0.500 [4 per cell]
I: 0.250 0.250 0.250 [8 per cell]

No. 3
Density functional theory data (PBE) for a relaxed Cr2C crystal.

Computed properties:
The calculation puts the uncorrected energy at -57.64 eV for the cell shown.

Cell: 4.329 4.824 2.828 Å, 90.00 90.00 90.00°
Space group Pnnm (No. 58)
Inequivalent atoms, fractional coordinates:
Cr: 0.239 0.149 0.000 [4 per cell]
C: 0.000 0.500 0.000 [2 per cell]

No. 4
Density functional theory data (PBE) for a relaxed Ac6Ni2Hg crystal.

Computed properties:
The calculation puts the uncorrected energy at -153.69 eV for the cell shown.

Cell: 10.121 10.789 11.109 Å, 90.00 90.00 90.00°
Space group Immm (No. 71)
Inequivalent atoms, fractional coordinates:
Ac: 0.000 0.195 0.228 [8 per cell]
Ac: 0.186 0.500 0.172 [8 per cell]
Ac: 0.203 0.324 0.500 [8 per cell]
Ni: 0.000 0.356 0.000 [4 per cell]
Ni: 0.000 0.500 0.380 [4 per cell]
Hg: 0.000 0.000 0.000 [2 per cell]
Hg: 0.000 0.000 0.500 [2 per cell]

No. 5
Density functional theory data (PBE) for a relaxed Sr2InAg16 crystal.

Computed properties:
The calculation puts the uncorrected energy at -161.51 eV for the cell shown.

Cell: 9.8211 9.8211 14.3263 Å, 90.00 90.00 120.00°
Space group R3m (No. 160, hexagonal axes)
Inequivalent atoms, fractional coordinates:
Sr: 0.0000 0.0000 0.0000 [3 per cell]
Sr: 0.0000 0.0000 0.3128 [3 per cell]
In: 0.0000 0.0000 0.7492 [3 per cell]
Ag: 0.0000 0.0000 0.5530 [3 per cell]
Ag: 0.0001 0.3025 0.6517 [18 per cell]
Ag: 0.0009 0.5004 0.1522 [9 per cell]
Ag: 0.1671 0.3341 0.1397 [9 per cell]
Ag: 0.1687 0.3374 0.8319 [9 per cell]

No. 6
Density functional theory data (PBE) for a relaxed Ac4LaNd2 crystal.

Computed properties:
The calculation puts the polymorph energy (0 for the lowest one) at 0.000 eV per atom.

Cell: 7.179 24.853 7.168 Å, 90.00 115.92 90.00°
Space group C2/c (No. 15)
Inequivalent atoms, fractional coordinates:
Ac: 0.000 0.174 0.250 [4 per cell]
Ac: 0.000 0.249 0.750 [4 per cell]
Ac: 0.250 0.031 0.500 [8 per cell]
La: 0.000 0.393 0.750 [4 per cell]
Nd: 0.000 0.106 0.750 [4 per cell]
Nd: 0.000 0.331 0.250 [4 per cell]

No. 7
Density functional theory data (PBE) for a relaxed PaZnHg crystal.

Computed properties:
The calculation puts the polymorph energy (0 for the lowest one) at 0.071 eV per atom.

Cell: 3.170 3.170 12.768 Å, 90.00 90.00 90.00°
Space group I4mm (No. 107)
Inequivalent atoms, fractional coordinates:
Pa: 0.000 0.000 0.000 [2 per cell]
Zn: 0.000 0.000 0.666 [2 per cell]
Hg: 0.000 0.000 0.309 [2 per cell]

No. 8
Density functional theory data (PBE) for a relaxed Pm4IrPt2 crystal.

Computed properties:
The calculation puts the polymorph energy (0 for the lowest one) at 0.088 eV per atom.

Cell: 9.082 9.091 9.258 Å, 90.00 90.00 90.00°
Space group Imma (No. 74)
Inequivalent atoms, fractional coordinates:
Pm: 0.000 0.054 0.193 [8 per cell]
Pm: 0.196 0.250 0.558 [8 per cell]
Ir: 0.000 0.250 0.874 [4 per cell]
Pt: 0.000 0.000 0.500 [4 per cell]
Pt: 0.250 0.250 0.250 [4 per cell]

No. 9
Density functional theory data (PBE) for a relaxed BeInP2 crystal.

Computed properties:
The calculation puts the uncorrected energy at -16.50 eV for the cell shown.

Cell: 3.145 3.630 6.415 Å, 90.00 90.00 90.00°
Space group Pmm2 (No. 25)
Inequivalent atoms, fractional coordinates:
Be: 0.000 0.000 0.000 [1 per cell]
In: 0.500 0.500 0.483 [1 per cell]
P: 0.000 0.000 0.664 [1 per cell]
P: 0.500 0.500 0.086 [1 per cell]

No. 10
Density functional theory data (PBE) for a relaxed Cd3SnO crystal.

Computed properties:
The calculation puts the polymorph energy (0 for the lowest one) at 0.000 eV per atom. Its formation energy without anion corrections is -0.147 eV/atom.

Cell: 4.728 4.728 4.728 Å, 90.00 90.00 90.00°
Space group Pm-3m (No. 221)
Inequivalent atoms, fractional coordinates:
Cd: 0.000 0.000 0.500 [3 per cell]
Sn: 0.500 0.500 0.500 [1 per cell]
O: 0.000 0.000 0.000 [1 per cell]

No. 11
Density functional theory data (PBE) for a relaxed La3TaRh crystal.

Computed properties:
The calculation puts the polymorph energy (0 for the lowest one) at 0.000 eV per atom.

Cell: 5.444 5.444 5.444 Å, 90.00 90.00 90.00°
Space group Pm-3m (No. 221)
Inequivalent atoms, fractional coordinates:
La: 0.000 0.000 0.500 [3 per cell]
Ta: 0.500 0.500 0.500 [1 per cell]
Rh: 0.000 0.000 0.000 [1 per cell]

No. 12
Density functional theory data (PBE) for a relaxed LiPmIO6 crystal.

Computed properties:
Its formation energy without anion corrections is -1.423 eV/atom.

Cell: 5.2612 5.2612 5.0087 Å, 90.00 90.00 120.00°
Space group P312 (No. 149)
Inequivalent atoms, fractional coordinates:
Li: 0.0000 0.0000 0.0000 [1 per cell]
Pm: 0.6667 0.3333 0.5000 [1 per cell]
I: 0.3333 0.6667 0.0000 [1 per cell]
O: 0.0431 0.3668 0.2151 [6 per cell]

No. 13
Density functional theory data (PBE) for a relaxed BaLaBe crystal.

Computed properties:
The calculation puts the polymorph energy (0 for the lowest one) at 0.000 eV per atom.

Cell: 3.825 3.825 13.856 Å, 90.00 90.00 90.00°
Space group I4mm (No. 107)
Inequivalent atoms, fractional coordinates:
Ba: 0.000 0.000 0.000 [2 per cell]
La: 0.000 0.000 0.750 [2 per cell]
Be: 0.000 0.000 0.349 [2 per cell]

No. 14
Density functional theory data (PBE) for a relaxed Ba2YTi crystal.

Computed properties:
The calculation puts the polymorph energy (0 for the lowest one) at 0.145 eV per atom.

Cell: 9.556 9.556 6.656 Å, 90.00 90.00 90.00°
Space group I-42d (No. 122)
Inequivalent atoms, fractional coordinates:
Ba: 0.206 0.250 0.125 [8 per cell]
Y: 0.000 0.000 0.500 [4 per cell]
Ti: 0.000 0.000 0.000 [4 per cell]

No. 15
Density functional theory data (PBE) for a relaxed Re2Ir7Rh2 crystal.

Computed properties:
The calculation puts the uncorrected energy at -197.03 eV for the cell shown.

Cell: 10.154 8.693 4.246 Å, 90.00 113.23 90.00°
Space group C2/m (No. 12)
Inequivalent atoms, fractional coordinates:
Re: 0.000 0.242 0.000 [4 per cell]
Ir: 0.000 0.000 0.500 [2 per cell]
Ir: 0.075 0.500 0.331 [4 per cell]
Ir: 0.199 0.200 0.700 [8 per cell]
Rh: 0.175 0.000 0.166 [4 per cell]

No. 16
Density functional theory data (PBE) for a relaxed Zr2TeRhN crystal.

Computed properties:
Its formation energy without anion corrections is -0.362 eV/atom.

Cell: 4.338 4.338 4.874 Å, 90.00 90.00 90.00°
Space group P4/mmm (No. 123)
Inequivalent atoms, fractional coordinates:
Zr: 0.000 0.500 0.000 [2 per cell]
Te: 0.000 0.000 0.500 [1 per cell]
Rh: 0.500 0.500 0.500 [1 per cell]
N: 0.000 0.000 0.000 [1 per cell]

No. 17
Density functional theory data (PBE) for a relaxed LiCd2Pb crystal.

Computed properties:
The calculation puts the uncorrected energy at -15.74 eV for the cell shown.

Cell: 4.563 4.563 8.934 Å, 90.00 90.00 90.00°
Space group I-4m2 (No. 119)
Inequivalent atoms, fractional coordinates:
Li: 0.000 0.000 0.000 [2 per cell]
Cd: 0.000 0.000 0.500 [2 per cell]
Cd: 0.000 0.500 0.750 [2 per cell]
Pb: 0.000 0.500 0.250 [2 per cell]

No. 18
Density functional theory data (PBE) for a relaxed CsAgF2 crystal.

Computed properties:
The calculation puts the polymorph energy (0 for the lowest one) at 0.000 eV per atom. Its formation energy without anion corrections is -1.838 eV/atom.

Cell: 4.5086 4.5086 21.4060 Å, 90.00 90.00 120.00°
Space group R-3m (No. 166, hexagonal axes)
Inequivalent atoms, fractional coordinates:
Cs: 0.0000 0.0000 0.0000 [3 per cell]
Ag: 0.0000 0.0000 0.5000 [3 per cell]
F: 0.0000 0.0000 0.4036 [6 per cell]

No. 19
Density functional theory data (PBE) for a relaxed Nd3Ho2In6 crystal.

Computed properties:
The calculation puts the uncorrected energy at -84.44 eV for the cell shown.

Cell: 4.758 4.758 29.116 Å, 90.00 90.00 90.00°
Space group I4/mmm (No. 139)
Inequivalent atoms, fractional coordinates:
Nd: 0.000 0.000 0.000 [2 per cell]
Nd: 0.000 0.000 0.202 [4 per cell]
Ho: 0.000 0.000 0.446 [4 per cell]
In: 0.000 0.000 0.311 [4 per cell]
In: 0.000 0.500 0.118 [8 per cell]

No. 20
Density functional theory data (PBE) for a relaxed Cd2NiAgH crystal.

Computed properties:
The calculation puts the uncorrected energy at -13.55 eV for the cell shown.

Cell: 4.774 4.774 3.231 Å, 90.00 90.00 90.00°
Space group P4/mmm (No. 123)
Inequivalent atoms, fractional coordinates:
Cd: 0.000 0.500 0.000 [2 per cell]
Ni: 0.000 0.000 0.500 [1 per cell]
Ag: 0.500 0.500 0.500 [1 per cell]
H: 0.000 0.000 0.000 [1 per cell]